(1)
Computed, not measured: crystalline MgW4 at its relaxed geometry at the GGA-PBEsol level of DFT.

Unit cell a=4.1974 b=4.1974 c=6.2602 alpha=109.59 beta=109.59 gamma=90.00
Last column: nearest neighbours and their distance in Å.
Fractional positions:
Mg 0.0000 0.0000 0.0000  16 W 3.24-3.46
W 0.7500 0.2500 0.5000  4 W 2.56
W 0.3823 0.3823 0.7645  5 W 2.56-2.60
W 0.6177 0.6177 0.2355  5 W 2.56-2.60
W 0.2500 0.7500 0.5000  4 W 2.56

Values from the calculation:
Total moment = 0.000 Bohr magnetons per cell
Total DFT energy (no corrections) = -10.47 eV/atom
E_form = 923 meV/atom


(2)
Computed, not measured: crystalline Mg4W at its relaxed geometry at the GGA-PBEsol level of DFT.

Unit cell a=3.7670 b=3.7670 c=7.7746 alpha=104.02 beta=104.02 gamma=90.00
Last column: nearest neighbours and their distance in Å.
Fractional positions:
Mg 0.7500 0.2500 0.5000  4 Mg 2.66
Mg 0.4098 0.4098 0.8197  1 Mg 2.63
Mg 0.5902 0.5902 0.1803  1 Mg 2.63
Mg 0.2500 0.7500 0.5000  4 Mg 2.66
W 0.0000 0.0000 0.0000  8 Mg 2.97

Values from the calculation:
Total moment = 2.002 Bohr magnetons per cell
Total DFT energy (no corrections) = -3.16 eV/atom
E_form = 971 meV/atom